CaCu2O4, optimized geometry, DFT PBE-GGA; symmetry = No. 63; density of states at the Fermi level = 3.591 states/eV/f.u.; E_tot = -5.42 eV/atom; density = 5.19 g cm⁻³; total magnetization = 0.0 μB/f.u.
1.0
1.571 -4.933 0.000
1.571 4.933 0.000
0.000 0.000 9.538
Ca Cu O
2 4 8
Direct
0.104 0.896 0.750
0.896 0.104 0.250
0.363 0.637 0.569
0.363 0.637 0.931
0.637 0.363 0.069
0.637 0.363 0.431
0.000 0.000 0.000
0.000 0.000 0.500
0.273 0.727 0.105
0.273 0.727 0.395
0.438 0.562 0.750
0.562 0.438 0.250
0.727 0.273 0.605
0.727 0.273 0.895